Here is a relaxed structure of SrTePdO from OQMD via LeMat-Bulk. Energies are from PBE-GGA.

Properties
Space group   No. 29
Final energy   -0.1715 Ha/atom
Crystal system   orthorhombic
Energy above the lowest structure with this stoichiometry   0.397 eV/atom
Calculated volume   104.7 Å³/f.u.

Cell: 6.678 9.561 6.557 Å, 90.00 90.00 90.00°
Sites, in units of the cell vectors:
Sr  0.023  0.195  0.000
Sr  0.477  0.195  0.500
Sr  0.523  0.805  0.000
Sr  0.977  0.805  0.500
Te  0.026  0.833  0.000
Te  0.474  0.833  0.500
Te  0.526  0.167  0.000
Te  0.974  0.167  0.500
Pd  0.033  0.444  0.498
Pd  0.467  0.444  0.998
Pd  0.533  0.556  0.498
Pd  0.967  0.556  0.998
O  0.178  0.413  0.997
O  0.322  0.413  0.497
O  0.678  0.587  0.997
O  0.822  0.587  0.497